No. 1
This record from Alexandria describes YSc2Ag after structural relaxation. The functional is GGA-PBEsol.

The structure belongs to space group Pmmm (No. 47); the cell edges are 3.3322, 4.3738 and 6.2449 Å and the angles 90.00°, 90.00° and 90.00°. The asymmetric unit holds Y at (0.0000, 0.0000, 0.0000), Sc at (0.5000, 0.5000, 0.2663) and Ag at (0.0000, 0.0000, 0.5000).

For the formation energy, the calculation gives 0.0270 eV per atom. As for the energy above the most stable polymorph in this dataset: 152 meV/atom. The value obtained for the size of the total moment is 0.0 μB per formula unit. The volume is 22.75 Å³ per atom. The calculation puts the mass density at 5.2 g cm⁻³.


No. 2
This record from Alexandria describes ScCoP2Cl after structural relaxation. The functional is GGA-PBEsol.

The structure belongs to space group P4/mmm (No. 123); the cell edges are 4.9126, 4.9126 and 4.7187 Å and the angles 90.00°, 90.00° and 90.00°. The asymmetric unit holds Sc at (0.0000, 0.0000, 0.0000), Co at (0.5000, 0.5000, 0.5000), P at (0.0000, 0.5000, 0.0000) and Cl at (0.0000, 0.0000, 0.5000).

The value obtained for the size of the total moment is 2.6 μB per formula unit. The volume is 22.78 Å³ per atom. The uncorrected formation energy comes out at 3.03 eV per formula unit. The calculation puts the mass density at 2.9 g cm⁻³.


No. 3
This record from Alexandria describes Sr2CdCuSi after structural relaxation. The functional is GGA-PBEsol.

The structure belongs to space group P4/mmm (No. 123); the cell edges are 5.5427, 5.5427 and 4.7909 Å and the angles 90.00°, 90.00° and 90.00°. The asymmetric unit holds Sr at (0.0000, 0.5000, 0.0000), Cd at (0.0000, 0.0000, 0.5000), Cu at (0.0000, 0.0000, 0.0000) and Si at (0.5000, 0.5000, 0.5000).

The value obtained for the size of the total moment is 0.0 μB per formula unit. The volume is 29.44 Å³ per atom. The uncorrected formation energy comes out at 0.87 eV per formula unit. The calculation puts the mass density at 4.3 g cm⁻³.


No. 4
This record from Alexandria describes Mg2AgMo after structural relaxation. The functional is GGA-PBEsol.

The structure belongs to space group C2/m (No. 12); the cell edges are 9.5169, 2.7719 and 5.2994 Å and the angles 90.00°, 100.40° and 90.00°. The asymmetric unit holds Mg at (0.2450, 0.0000, 0.2576), Ag at (0.0000, 0.5000, 0.0000) and Mo at (0.0000, 0.0000, 0.5000).

For the formation energy, the calculation gives 0.3477 eV per atom. As for the energy above the most stable polymorph in this dataset: 216 meV/atom. The value obtained for the size of the total moment is 0.1 μB per formula unit. The volume is 17.19 Å³ per atom. The calculation puts the mass density at 6.1 g cm⁻³.


No. 5
This record from Alexandria describes TiTe3O8 after structural relaxation. The functional is GGA-PBEsol.

The structure belongs to space group Ia-3 (No. 206); the cell edges are 10.8822, 10.8822 and 10.8822 Å and the angles 90.00°, 90.00° and 90.00°. The asymmetric unit holds Ti at (0.0000, 0.0000, 0.0000), Te at (0.0000, 0.2500, 0.2172), O at (0.0643, 0.1297, 0.6065) and O at (0.1739, 0.1739, 0.1739).

The value obtained for the size of the total moment is 0.0 μB per formula unit. The volume is 13.42 Å³ per atom. The uncorrected formation energy comes out at -18.72 eV per formula unit. The calculation puts the mass density at 5.8 g cm⁻³.


No. 6
This record from Alexandria describes ScS2ICl after structural relaxation. The functional is GGA-PBEsol.

The structure belongs to space group P4/mmm (No. 123); the cell edges are 4.9991, 4.9991 and 4.7546 Å and the angles 90.00°, 90.00° and 90.00°. The asymmetric unit holds Sc at (0.0000, 0.0000, 0.0000), S at (0.0000, 0.5000, 0.0000), I at (0.5000, 0.5000, 0.5000) and Cl at (0.0000, 0.0000, 0.5000).

The value obtained for the size of the total moment is 0.0 μB per formula unit. The volume is 23.76 Å³ per atom. The uncorrected formation energy comes out at -3.23 eV per formula unit. The calculation puts the mass density at 3.8 g cm⁻³.


No. 7
This record from Alexandria describes CaZn2Cu after structural relaxation. The functional is GGA-PBEsol.

The structure belongs to space group P4/mmm (No. 123); the cell edges are 4.0613, 4.0613 and 4.3361 Å and the angles 90.00°, 90.00° and 90.00°. The asymmetric unit holds Ca at (0.0000, 0.0000, 0.0000), Zn at (0.0000, 0.5000, 0.5000) and Cu at (0.5000, 0.5000, 0.0000).

For the formation energy, the calculation gives 0.0394 eV per atom. The value obtained for the size of the total moment is 0.0 μB per formula unit. The volume is 17.88 Å³ per atom. The calculation puts the mass density at 5.4 g cm⁻³.


No. 8
This record from Alexandria describes CrS2BrN after structural relaxation. The functional is GGA-PBEsol.

The structure belongs to space group P4/mmm (No. 123); the cell edges are 4.8853, 4.8853 and 3.6293 Å and the angles 90.00°, 90.00° and 90.00°. The asymmetric unit holds Cr at (0.0000, 0.0000, 0.0000), S at (0.0000, 0.5000, 0.5000), Br at (0.5000, 0.5000, 0.5000) and N at (0.5000, 0.5000, 0.0000).

The value obtained for the size of the total moment is 3.9 μB per formula unit. The volume is 17.32 Å³ per atom. The uncorrected formation energy comes out at 7.47 eV per formula unit. The calculation puts the mass density at 4.0 g cm⁻³.


No. 9
This record from Alexandria describes SrMg2Cu after structural relaxation. The functional is GGA-PBEsol.

The structure belongs to space group P4/mmm (No. 123); the cell edges are 3.3462, 3.3462 and 8.3588 Å and the angles 90.00°, 90.00° and 90.00°. The asymmetric unit holds Sr at (0.0000, 0.0000, 0.0000), Mg at (0.5000, 0.5000, 0.3242) and Cu at (0.0000, 0.0000, 0.5000).

For the formation energy, the calculation gives 0.0534 eV per atom. The value obtained for the size of the total moment is 0.0 μB per formula unit. The volume is 23.40 Å³ per atom. The calculation puts the mass density at 3.5 g cm⁻³.


No. 10
This record from Alexandria describes SrHgSb2 after structural relaxation. The functional is GGA-PBEsol.

The structure belongs to space group Cm (No. 8); the cell edges are 11.7137, 4.7843 and 4.6317 Å and the angles 90.00°, 110.84° and 90.00°. The asymmetric unit holds Sr at (0.0000, 0.0000, 0.0000), Hg at (0.2258, 0.5000, 0.2657), Sb at (0.0506, 0.5000, 0.5591) and Sb at (0.3105, 0.0000, 0.0675).

The value obtained for the size of the total moment is 0.0 μB per formula unit. The volume is 30.32 Å³ per atom. The uncorrected formation energy comes out at -1.83 eV per formula unit. The calculation puts the mass density at 7.3 g cm⁻³.


No. 11
This record from Alexandria describes Zn3OsCl after structural relaxation. The functional is GGA-PBEsol.

The structure belongs to space group Pm-3m (No. 221); the cell edges are 4.8024, 4.8024 and 4.8024 Å and the angles 90.00°, 90.00° and 90.00°. The asymmetric unit holds Zn at (0.0000, 0.0000, 0.5000), Os at (0.0000, 0.0000, 0.0000) and Cl at (0.5000, 0.5000, 0.5000).

The value obtained for the size of the total moment is 1.1 μB per formula unit. The volume is 22.15 Å³ per atom. The uncorrected formation energy comes out at 3.90 eV per formula unit. The calculation puts the mass density at 6.3 g cm⁻³.